Entry 1:
A geometry-optimized La2MgCd structure, computed with PBE-GGA.

Cell: 5.5761 5.5761 5.5761 Å, 60.00 60.00 60.00°
With the nearest neighbours (Å) after each atom.
Fractional coordinates of all 4 atoms:
Mg 0.7500 0.7500 0.7500  8 La 3.41
Cd 0.2500 0.2500 0.2500  8 La 3.41
La 0.0000 0.0000 0.0000  4 Mg 3.41, 4 Cd 3.41
La 0.5000 0.5000 0.5000  4 Mg 3.41, 4 Cd 3.41

Properties
- M_tot: 0.00 μB per formula unit
- Fermi-level density of states: 5.143 states/eV per cell
- E_tot: -3.311 eV per atom
- Energy relative to the elements: -0.220 eV per atom

---

Entry 2:
A geometry-optimized NbPdRuPt structure, computed with PBE-GGA.

Cell: 3.8692 3.9079 4.0805 Å, 90.00 90.00 90.00°
With the nearest neighbours (Å) after each atom.
Fractional coordinates of all 4 atoms:
Nb 0.0000 0.5000 0.5000  4 Ru 2.75, 4 Pt 2.81, 4 Pd 2.82
Pd 0.0000 0.0000 0.0000  4 Pt 2.75, 4 Ru 2.81, 4 Nb 2.82
Ru 0.5000 0.0000 0.5000  4 Nb 2.75, 4 Pd 2.81, 4 Pt 2.82
Pt 0.5000 0.5000 0.0000  4 Pd 2.75, 4 Nb 2.81, 4 Ru 2.82

Properties
- M_tot: 0.00 μB per formula unit
- Fermi-level density of states: 3.033 states/eV per cell
- E_tot: -8.058 eV per atom
- Energy relative to the elements: -0.414 eV per atom

---

Entry 3:
A geometry-optimized YLuCu2 structure, computed with PBE-GGA.

Cell: 4.8623 4.8623 4.8623 Å, 60.00 60.00 60.00°
With the nearest neighbours (Å) after each atom.
Fractional coordinates of all 4 atoms:
Y 0.0000 0.0000 0.0000  8 Cu 2.98
Lu 0.5000 0.5000 0.5000  8 Cu 2.98
Cu 0.2500 0.2500 0.2500  4 Lu 2.98, 4 Y 2.98
Cu 0.7500 0.7500 0.7500  4 Y 2.98, 4 Lu 2.98

Properties
- M_tot: 0.00 μB per formula unit
- Excess energy over the best structure of this formula in the dataset: 7 meV per atom
- Fermi-level density of states: 2.482 states/eV per cell
- E_tot: -5.062 eV per atom
- Energy relative to the elements: -0.268 eV per atom

---

Q: The highest Fermi-level density of states belongs to which entry?
A: La2MgCd